Here is KLaBiAu after structural relaxation from Alexandria. Energies are from PBE.

Calculated values
formation energy from the elements: -2.33 eV per formula unit
V: 31.1 Å³ per atom
size of the total moment: 0.00 μB per cell
space group: F-43m (216)
VASP energy: -3.8783 eV per atom

Unit cell a=5.6011 b=5.6011 c=5.6011 alpha=60.00 beta=60.00 gamma=60.00
Last column: nearest neighbours and their distance in Å.
Element x y z (fractional)
Bi 0.5000 0.5000 0.5000  4 La 3.43, 4 K 3.43
K 0.2500 0.2500 0.2500  4 Bi 3.43, 4 Au 3.43
Au 0.0000 0.0000 0.0000  4 La 3.43, 4 K 3.43
La 0.7500 0.7500 0.7500  4 Bi 3.43, 4 Au 3.43

***

Here is BWC2 after structural relaxation from Alexandria. Energies are from PBE.

Calculated values
formation energy from the elements: 2.82 eV per formula unit
V: 9.8 Å³ per atom
size of the total moment: 0.00 μB per cell
space group: I-42d (122)
VASP energy: -8.8134 eV per atom

Unit cell a=4.4441 b=4.4441 c=5.0756 alpha=64.04 beta=64.04 gamma=90.00
Last column: nearest neighbours and their distance in Å.
Element x y z (fractional)
B 0.2500 0.7500 0.5000  4 C 1.71
B 0.5000 0.5000 0.0000  4 C 1.71
C 0.1871 0.6250 0.2500  2 B 1.71
C 0.5629 0.1250 0.2500  2 B 1.71
C 0.3750 0.4371 0.7500  2 B 1.71
C 0.8750 0.8129 0.7500  2 B 1.71
W 0.7500 0.2500 0.5000  4 C 2.04
W 0.0000 0.0000 0.0000  4 C 2.04

***

Here is Nb3ZnCl after structural relaxation from Alexandria. Energies are from PBE.

Calculated values
V: 18.9 Å³ per atom
energy relative to the elements, uncorrected: 0.64 eV/atom
size of the total moment: 0.00 μB per cell
space group: Pm-3m (221)
VASP energy: -6.0232 eV per atom
relative energy among the computed polymorphs: 0.000 eV/atom

Unit cell a=4.5560 b=4.5560 c=4.5560 alpha=90.00 beta=90.00 gamma=90.00
Last column: nearest neighbours and their distance in Å.
Element x y z (fractional)
Nb 0.0000 0.5000 0.0000  2 Cl 2.28
Nb 0.5000 0.0000 0.0000  2 Cl 2.28
Nb 0.0000 0.0000 0.5000  2 Cl 2.28
Zn 0.5000 0.5000 0.5000  12 Nb 3.22
Cl 0.0000 0.0000 0.0000  6 Nb 2.28